# 1
# MgScSi2 | Alexandria | GGA-PBEsol | optimized geometry
data_MgScSi2
_space_group_name_H-M_alt 'P 4 m m'
_space_group_IT_number 99
_space_group_name_Hall 'P 4 -2'
_cell_length_a 3.596
_cell_length_b 3.596
_cell_length_c 5.473
_cell_angle_alpha 90.00
_cell_angle_beta 90.00
_cell_angle_gamma 90.00
loop_
_atom_site_label
_atom_site_fract_x
_atom_site_fract_y
_atom_site_fract_z
Mg1 0.000 0.000 0.000
Sc1 0.500 0.500 0.299
Si1 0.000 0.000 0.514
Si2 0.500 0.500 0.777
# - raw formation energy (eV/atom) = -0.16

# 2
# MgScSi2 | Alexandria | GGA-PBEsol | optimized geometry
data_MgScSi2
_space_group_name_H-M_alt 'R 3 m'
_space_group_IT_number 160
_space_group_name_Hall 'R 3 -2"'
_cell_length_a 3.0792
_cell_length_b 3.0792
_cell_length_c 26.7667
_cell_angle_alpha 90.00
_cell_angle_beta 90.00
_cell_angle_gamma 120.00
loop_
_atom_site_label
_atom_site_fract_x
_atom_site_fract_y
_atom_site_fract_z
Mg1 0.0000 0.0000 0.0000
Sc1 0.0000 0.0000 0.7664
Si1 0.0000 0.0000 0.2497
Si2 0.0000 0.0000 0.5148
# - raw formation energy (eV/atom) = 0.06

# 3
# SrMg2Sc | Alexandria | GGA-PBEsol | optimized geometry
data_SrMg2Sc
_space_group_name_H-M_alt 'P 4/m m m'
_space_group_IT_number 123
_space_group_name_Hall '-P 4 2'
_cell_length_a 5.494
_cell_length_b 5.494
_cell_length_c 3.706
_cell_angle_alpha 90.00
_cell_angle_beta 90.00
_cell_angle_gamma 90.00
loop_
_atom_site_label
_atom_site_fract_x
_atom_site_fract_y
_atom_site_fract_z
Sr1 0.000 0.000 0.000
Mg1 0.000 0.500 0.500
Sc1 0.500 0.500 0.000
# - energy of formation from the pure elements (kJ per mole of atoms) = 7.2

# 4
# SrMgSc2 | Alexandria | GGA-PBEsol | optimized geometry
data_SrMgSc2
_space_group_name_H-M_alt 'P 4/m m m'
_space_group_IT_number 123
_space_group_name_Hall '-P 4 2'
_cell_length_a 3.603
_cell_length_b 3.603
_cell_length_c 8.835
_cell_angle_alpha 90.00
_cell_angle_beta 90.00
_cell_angle_gamma 90.00
loop_
_atom_site_label
_atom_site_fract_x
_atom_site_fract_y
_atom_site_fract_z
Sr1 0.000 0.000 0.000
Mg1 0.000 0.000 0.500
Sc1 0.500 0.500 0.312
# - energy of formation from the pure elements (kJ per mole of atoms) = 17.0

# 5
# SrMg2Sc | Alexandria | GGA-PBEsol | optimized geometry
data_SrMg2Sc
_space_group_name_H-M_alt 'P m m m'
_space_group_IT_number 47
_space_group_name_Hall '-P 2 2'
_cell_length_a 3.780
_cell_length_b 3.800
_cell_length_c 7.880
_cell_angle_alpha 90.00
_cell_angle_beta 90.00
_cell_angle_gamma 90.00
loop_
_atom_site_label
_atom_site_fract_x
_atom_site_fract_y
_atom_site_fract_z
Sr1 0.000 0.000 0.000
Mg1 0.500 0.500 0.296
Sc1 0.000 0.000 0.500
# - energy of formation from the pure elements (kJ per mole of atoms) = 0.2

# 6
# SrMg4Sc | Alexandria | GGA-PBEsol | optimized geometry
data_SrMg4Sc
_space_group_name_H-M_alt 'F -4 3 m'
_space_group_IT_number 216
_space_group_name_Hall 'F -4 2 3'
_cell_length_a 8.576
_cell_length_b 8.576
_cell_length_c 8.576
_cell_angle_alpha 90.00
_cell_angle_beta 90.00
_cell_angle_gamma 90.00
loop_
_atom_site_label
_atom_site_fract_x
_atom_site_fract_y
_atom_site_fract_z
Sr1 0.000 0.000 0.000
Mg1 0.124 0.124 0.376
Sc1 0.250 0.250 0.750
# - energy of formation from the pure elements (kJ per mole of atoms) = 0.6

# 7
# SrMgSc2 | Alexandria | GGA-PBEsol | optimized geometry
data_SrMgSc2
_space_group_name_H-M_alt 'P 4/m m m'
_space_group_IT_number 123
_space_group_name_Hall '-P 4 2'
_cell_length_a 4.720
_cell_length_b 4.720
_cell_length_c 5.076
_cell_angle_alpha 90.00
_cell_angle_beta 90.00
_cell_angle_gamma 90.00
loop_
_atom_site_label
_atom_site_fract_x
_atom_site_fract_y
_atom_site_fract_z
Sr1 0.000 0.000 0.000
Mg1 0.500 0.500 0.000
Sc1 0.000 0.500 0.500
# - energy of formation from the pure elements (kJ per mole of atoms) = 25.1

# 8
# SrMg2Sc | Alexandria | GGA-PBEsol | optimized geometry
data_SrMg2Sc
_space_group_name_H-M_alt 'I m m 2'
_space_group_IT_number 44
_space_group_name_Hall 'I 2 -2'
_cell_length_a 3.594
_cell_length_b 5.616
_cell_length_c 11.224
_cell_angle_alpha 90.00
_cell_angle_beta 90.00
_cell_angle_gamma 90.00
loop_
_atom_site_label
_atom_site_fract_x
_atom_site_fract_y
_atom_site_fract_z
Sr1 0.000 0.000 0.000
Mg1 0.000 0.000 0.483
Mg2 0.000 0.500 0.765
Sc1 0.000 0.500 0.213
# - energy of formation from the pure elements (kJ per mole of atoms) = 11.8

# 9
# SrMgSc3 | Alexandria | GGA-PBEsol | optimized geometry
data_SrMgSc3
_space_group_name_H-M_alt 'P m -3 m'
_space_group_IT_number 221
_space_group_name_Hall '-P 4 2 3'
_cell_length_a 5.384
_cell_length_b 5.384
_cell_length_c 5.384
_cell_angle_alpha 90.00
_cell_angle_beta 90.00
_cell_angle_gamma 90.00
loop_
_atom_site_label
_atom_site_fract_x
_atom_site_fract_y
_atom_site_fract_z
Sr1 0.000 0.000 0.000
Mg1 0.500 0.500 0.500
Sc1 0.000 0.500 0.500
# - energy of formation from the pure elements (kJ per mole of atoms) = 58.7

# 10
# SrMgSc2 | Alexandria | GGA-PBEsol | optimized geometry
data_SrMgSc2
_space_group_name_H-M_alt 'C 1 2/m 1'
_space_group_IT_number 12
_space_group_name_Hall '-C 2y'
_cell_length_a 6.633
_cell_length_b 11.509
_cell_length_c 3.258
_cell_angle_alpha 90.00
_cell_angle_beta 116.10
_cell_angle_gamma 90.00
loop_
_atom_site_label
_atom_site_fract_x
_atom_site_fract_y
_atom_site_fract_z
Sr1 0.000 0.000 0.000
Mg1 0.000 0.500 0.000
Sc1 0.250 0.250 0.500
# - energy of formation from the pure elements (kJ per mole of atoms) = 25.9

# 11
# MgSc4Ta | Alexandria | GGA-PBEsol | optimized geometry
data_MgSc4Ta
_space_group_name_H-M_alt 'F -4 3 m'
_space_group_IT_number 216
_space_group_name_Hall 'F -4 2 3'
_cell_length_a 8.062
_cell_length_b 8.062
_cell_length_c 8.062
_cell_angle_alpha 90.00
_cell_angle_beta 90.00
_cell_angle_gamma 90.00
loop_
_atom_site_label
_atom_site_fract_x
_atom_site_fract_y
_atom_site_fract_z
Mg1 0.000 0.000 0.000
Sc1 0.123 0.123 0.377
Ta1 0.250 0.250 0.750
# - energy of formation from the pure elements (kJ per mole of atoms) = 45.5

# 12
# Mg3ScTc | Alexandria | GGA-PBEsol | optimized geometry
data_Mg3ScTc
_space_group_name_H-M_alt 'P m -3 m'
_space_group_IT_number 221
_space_group_name_Hall '-P 4 2 3'
_cell_length_a 4.895
_cell_length_b 4.895
_cell_length_c 4.895
_cell_angle_alpha 90.00
_cell_angle_beta 90.00
_cell_angle_gamma 90.00
loop_
_atom_site_label
_atom_site_fract_x
_atom_site_fract_y
_atom_site_fract_z
Mg1 0.000 0.000 0.500
Sc1 0.500 0.500 0.500
Tc1 0.000 0.000 0.000
# - energy of formation from the pure elements (kJ per mole of atoms) = 67.9

# 13
# MgScTe2 | Alexandria | GGA-PBEsol | optimized geometry
data_MgScTe2
_space_group_name_H-M_alt 'R -3 m'
_space_group_IT_number 166
_space_group_name_Hall '-R 3 2"'
_cell_length_a 4.0352
_cell_length_b 4.0352
_cell_length_c 21.4962
_cell_angle_alpha 90.00
_cell_angle_beta 90.00
_cell_angle_gamma 120.00
loop_
_atom_site_label
_atom_site_fract_x
_atom_site_fract_y
_atom_site_fract_z
Mg1 0.0000 0.0000 0.0000
Sc1 0.0000 0.0000 0.5000
Te1 0.0000 0.0000 0.2498
# - raw formation energy (eV/atom) = -0.96

# 14
# MgSc2Te | Alexandria | GGA-PBEsol | optimized geometry
data_MgSc2Te
_space_group_name_H-M_alt 'P 4/m m m'
_space_group_IT_number 123
_space_group_name_Hall '-P 4 2'
_cell_length_a 4.796
_cell_length_b 4.796
_cell_length_c 3.822
_cell_angle_alpha 90.00
_cell_angle_beta 90.00
_cell_angle_gamma 90.00
loop_
_atom_site_label
_atom_site_fract_x
_atom_site_fract_y
_atom_site_fract_z
Mg1 0.000 0.000 0.000
Sc1 0.000 0.500 0.500
Te1 0.500 0.500 0.000
# - raw formation energy (eV/atom) = -0.43

# 15
# MgScTe2 | Alexandria | GGA-PBEsol | optimized geometry
data_MgScTe2
_space_group_name_H-M_alt 'P 4/m m m'
_space_group_IT_number 123
_space_group_name_Hall '-P 4 2'
_cell_length_a 4.130
_cell_length_b 4.130
_cell_length_c 5.933
_cell_angle_alpha 90.00
_cell_angle_beta 90.00
_cell_angle_gamma 90.00
loop_
_atom_site_label
_atom_site_fract_x
_atom_site_fract_y
_atom_site_fract_z
Mg1 0.000 0.000 0.000
Sc1 0.500 0.500 0.500
Te1 0.000 0.000 0.500
Te2 0.500 0.500 0.000
# - raw formation energy (eV/atom) = -0.96

VASP energy for every record listed, in sequence, given in eV/atom: -5.11, -4.89, -2.90, -4.02, -2.97, -2.55, -3.93, -2.85, -4.07, -3.92, -6.31, -3.90, -4.80, -5.04, -4.80.
Magnetic moment for every record listed, in sequence, given in μB/cell: 0.00, 0.02, 0.00, 0.00, 0.01, 0.00, 0.86, 0.00, 0.01, 0.00, 4.38, 0.00, 0.00, 0.00, 0.00.